DFT (GGA-PBE) results for a relaxed ZrP2AuCl crystal.

Properties
Density of states at the Fermi level = 3.10 states/eV/cell
E_tot = -4.296 eV per atom

a = 4.816 Å, b = 4.816 Å, c = 4.754 Å
α = 90.00°, β = 90.00°, γ = 90.00°
Space group P4/mmm (No. 123)
Symmetry-distinct sites (fractional):
Zr (0.000, 0.000, 0.000) x1
P (0.000, 0.500, 0.500) x2
Au (0.500, 0.500, 0.500) x1
Cl (0.500, 0.500, 0.000) x1